# 1
Crystalline LaTb2Sm at its relaxed geometry, computed with PBE.

Calculated values
E above lowest polymorph = 0.012 eV/atom
E_form = 0.026 eV/atom
calculated volume = 135.05 Å³/f.u.

Cell: 3.6473 11.7731 6.2899 Å, 90.00 90.00 90.00°
Fractional coordinates of all 8 atoms:
La  0.7500  0.2500  0.0856
La  0.2500  0.7500  0.9144
Sm  0.7500  0.7500  0.4194
Sm  0.2500  0.2500  0.5806
Tb  0.2500  0.9973  0.2514
Tb  0.7500  0.0027  0.7486
Tb  0.7500  0.4973  0.7486
Tb  0.2500  0.5027  0.2514


# 2
Crystalline Pa7Ga at its relaxed geometry, computed with PBE.

Calculated values
E_form = -0.114 eV/atom
calculated volume = 191.12 Å³/f.u.

Cell: 6.4656 6.4656 6.4656 Å, 60.00 60.00 60.00°
Fractional coordinates of all 8 atoms:
Ga  0.0000  0.0000  0.0000
Pa  0.0000  0.5000  0.0000
Pa  0.5000  0.0000  0.0000
Pa  0.0000  0.0000  0.5000
Pa  0.0000  0.5000  0.5000
Pa  0.5000  0.5000  0.5000
Pa  0.5000  0.5000  0.0000
Pa  0.5000  0.0000  0.5000


# 3
Crystalline K4B at its relaxed geometry, computed with PBE.

Calculated values
E_form = 0.715 eV/atom
calculated volume = 263.77 Å³/f.u.

Cell: 6.4132 6.4132 6.4132 Å, 90.00 90.00 90.00°
Fractional coordinates of all 5 atoms:
K  0.5000  0.0000  0.5000
K  0.5000  0.5000  0.0000
K  0.0000  0.5000  0.5000
K  0.0000  0.0000  0.0000
B  0.5000  0.5000  0.5000


# 4
Crystalline TbSbP at its relaxed geometry, computed with PBE.

Calculated values
uncorrected formation energy = -0.4671 eV per atom
calculated volume = 94.45 Å³/f.u.

Cell: 4.7597 4.7597 9.6286 Å, 90.00 90.00 120.00°
Fractional coordinates of all 6 atoms:
Sb  0.0000  0.0000  0.6376
Sb  0.0000  0.0000  0.3624
P  0.6667  0.3333  0.1340
P  0.3333  0.6667  0.8660
Tb  0.3333  0.6667  0.1502
Tb  0.6667  0.3333  0.8498


# 5
Crystalline BaTlCd2Au at its relaxed geometry, computed with PBE.

Calculated values
E_form = -0.357 eV/atom
calculated volume = 145.35 Å³/f.u.

Cell: 4.6731 4.8181 7.2757 Å, 109.34 108.73 90.00°
Fractional coordinates of all 5 atoms:
Tl  0.1939  0.6939  0.3877
Cd  0.6991  0.1991  0.3983
Cd  0.0510  0.0510  0.1021
Au  0.8354  0.8354  0.6709
Ba  0.4327  0.4327  0.8653


# 6
Crystalline TaMnCo2 at its relaxed geometry, computed with PBE.

Calculated values
E above lowest polymorph = 0.000 eV/atom
E_form = -0.148 eV/atom
calculated volume = 52.95 Å³/f.u.

Cell: 4.2150 4.2150 4.2150 Å, 60.00 60.00 60.00°
Fractional coordinates of all 4 atoms:
Ta  0.5000  0.5000  0.5000
Co  0.2500  0.2500  0.2500
Co  0.7500  0.7500  0.7500
Mn  0.0000  0.0000  0.0000


The following DFT total energy values (in eV per atom) correspond, in order, to the records above: -4.701; -8.801; -1.499; -5.188; -2.237; -8.957.